(1)
Computed, not measured: Li2MgScPb after structural relaxation at the PBE level of DFT.

Cell lengths 5.100, 5.585, 5.100 Å; angles 90.00, 90.00, 90.00 degrees
Positions (direct):
Sc (0.000, 0.500, 0.000)
Li (0.500, 0.000, 0.000)
Li (0.000, 0.000, 0.500)
Mg (0.500, 0.500, 0.500)
Pb (0.000, 0.000, 0.000)

Computed properties:
Calculated volume (Å³/atom): 29.051
Space-group type: P4/mmm, No. 123
N(E_F) (states/eV/cell): 4.017
DFT formation energy (eV/atom): 0.202
Magnetization (μB/f.u.): 0.00

=====

(2)
Computed, not measured: Li2MgPbSe after structural relaxation at the PBE level of DFT.

Cell lengths 4.792, 4.792, 5.229 Å; angles 90.00, 90.00, 90.00 degrees
Positions (direct):
Li (0.500, 0.000, 0.000)
Li (0.000, 0.500, 0.000)
Se (0.000, 0.000, 0.000)
Pb (0.500, 0.500, 0.500)
Mg (0.000, 0.000, 0.500)

Computed properties:
Calculated volume (Å³/atom): 24.015
Formation energy from raw total energies (kJ/mol of atoms): -44.9
Space-group type: P4/mmm, No. 123
N(E_F) (states/eV/cell): 2.968
Magnetization (μB/f.u.): 0.00

=====

(3)
Computed, not measured: LiMgSnPb after structural relaxation at the PBE level of DFT.

Cell lengths 5.125, 5.125, 5.125 Å; angles 60.00, 60.00, 60.00 degrees
Positions (direct):
Li (0.500, 0.500, 0.500)
Sn (0.250, 0.250, 0.250)
Mg (0.000, 0.000, 0.000)
Pb (0.750, 0.750, 0.750)

Computed properties:
Calculated volume (Å³/atom): 23.796
Space-group type: F-43m, No. 216
N(E_F) (states/eV/cell): 0.726
DFT formation energy (eV/atom): -0.193
Magnetization (μB/f.u.): 0.00

=====

(4)
Computed, not measured: SrLiMgPb2 after structural relaxation at the PBE level of DFT.

Cell lengths 4.744, 4.744, 7.257 Å; angles 109.08, 109.08, 90.00 degrees
Positions (direct):
Sr (0.000, 0.000, 0.000)
Mg (0.750, 0.250, 0.500)
Li (0.250, 0.750, 0.500)
Pb (0.617, 0.617, 0.235)
Pb (0.383, 0.383, 0.765)

Computed properties:
Calculated volume (Å³/atom): 28.964
Space-group type: I-4m2, No. 119
N(E_F) (states/eV/cell): 1.687
DFT formation energy (eV/atom): -0.355
Magnetization (μB/f.u.): 0.00

=====

(5)
Computed, not measured: SrLiMgPb after structural relaxation at the PBE level of DFT.

Cell lengths 5.410, 5.410, 5.410 Å; angles 60.00, 60.00, 60.00 degrees
Positions (direct):
Pb (0.500, 0.500, 0.500)
Sr (0.750, 0.750, 0.750)
Li (0.000, 0.000, 0.000)
Mg (0.250, 0.250, 0.250)

Computed properties:
Calculated volume (Å³/atom): 27.996
Space-group type: F-43m, No. 216
N(E_F) (states/eV/cell): 2.388
DFT formation energy (eV/atom): -0.238
Magnetization (μB/f.u.): 0.00

=====

(6)
Computed, not measured: Sr2LiMg3Pb4 after structural relaxation at the PBE level of DFT.

Cell lengths 4.854, 4.854, 12.586 Å; angles 90.00, 90.00, 90.00 degrees
Positions (direct):
Pb (0.000, 0.500, 0.367)
Pb (0.500, 0.500, 0.000)
Pb (0.500, 0.000, 0.633)
Pb (0.000, 0.000, 0.000)
Sr (0.500, 0.000, 0.261)
Sr (0.000, 0.500, 0.739)
Li (0.500, 0.500, 0.500)
Mg (0.500, 0.000, 0.857)
Mg (0.000, 0.500, 0.143)
Mg (0.000, 0.000, 0.500)

Computed properties:
Calculated volume (Å³/atom): 29.660
Space-group type: P-4m2, No. 115
N(E_F) (states/eV/cell): 4.299
DFT formation energy (eV/atom): -0.322
Magnetization (μB/f.u.): 0.00

=====

(7)
Computed, not measured: Sr3Li2Mg2Pb4 after structural relaxation at the PBE level of DFT.

Cell lengths 5.146, 5.146, 14.765 Å; angles 90.00, 90.00, 120.00 degrees
Positions (direct):
Pb (0.667, 0.333, 0.630)
Pb (0.333, 0.667, 0.370)
Pb (0.667, 0.333, 0.131)
Pb (0.333, 0.667, 0.869)
Sr (0.000, 0.000, 0.735)
Sr (0.000, 0.000, 0.265)
Sr (0.000, 0.000, 0.000)
Li (0.333, 0.667, 0.139)
Li (0.667, 0.333, 0.861)
Mg (0.667, 0.333, 0.425)
Mg (0.333, 0.667, 0.575)

Computed properties:
Calculated volume (Å³/atom): 30.779
Space-group type: P-3m1, No. 164
N(E_F) (states/eV/cell): 8.440
DFT formation energy (eV/atom): -0.310
Magnetization (μB/f.u.): 0.00

=====

(8)
Computed, not measured: LiMgTlPb after structural relaxation at the PBE level of DFT.

Cell lengths 5.146, 5.146, 5.146 Å; angles 60.00, 60.00, 60.00 degrees
Positions (direct):
Pb (0.750, 0.750, 0.750)
Tl (0.250, 0.250, 0.250)
Mg (0.500, 0.500, 0.500)
Li (0.000, 0.000, 0.000)

Computed properties:
Calculated volume (Å³/atom): 24.095
Space-group type: F-43m, No. 216
N(E_F) (states/eV/cell): 2.041
DFT formation energy (eV/atom): -0.167
Magnetization (μB/f.u.): 0.00